Here is a relaxed structure of Sn2BiSeN from Alexandria via LeMat-Bulk. Energies are from PBE.

calculated density: 7934 kg/m³
energy relative to the elements, uncorrected: 2.30 eV/f.u.
magnetization: 0.000 μB/atom
E: -4.279 eV/atom

Unit cell a=4.9098 b=4.9098 c=4.6831 alpha=90.00 beta=90.00 gamma=90.00
Space group P4/mmm (No. 123)
Symmetry-distinct sites (fractional):
Sn1 0.0000 0.5000 0.0000 [2 per cell]
Bi1 0.0000 0.0000 0.5000 [1 per cell]
Se1 0.5000 0.5000 0.5000 [1 per cell]
N1 0.5000 0.5000 0.0000 [1 per cell]